1.
{"formula": "TaCoNiAs", "functional": "PBE", "state": "relaxed", "cell": [[0.5586, 2.0928, 3.6626], [1.5025, 3.9810, -0.0320], [-2.5585, 3.2478, 1.0063]], "species": ["As", "Co", "Ni", "Ta"], "frac_coords": [[0.0000, 0.0000, 0.0000], [0.7500, 0.7500, 0.7500], [0.2500, 0.2500, 0.2500], [0.5000, 0.5000, 0.5000]], "dft_energy_ha_per_atom": -0.26928, "magnetic_moment_mub_per_fu": 0.00, "e_above_lowest_polymorph_mev_per_atom": 5.3}



2.
{"formula": "Sr2YIr", "functional": "PBE", "state": "relaxed", "cell": [[0.0000, 3.7953, 3.7953], [3.7953, 0.0000, 3.7953], [3.7953, 3.7953, 0.0000]], "species": ["Ir", "Sr", "Sr", "Y"], "frac_coords": [[0.2500, 0.2500, 0.2500], [0.0000, 0.0000, 0.0000], [0.7500, 0.7500, 0.7500], [0.5000, 0.5000, 0.5000]], "dft_energy_ha_per_atom": -0.16567, "magnetic_moment_mub_per_fu": 0.00}



3.
{"formula": "PaPt4Au", "functional": "PBE", "state": "relaxed", "cell": [[-2.4774, -4.7511, -0.0276], [-2.1126, -1.9463, 4.5233], [-5.3208, -0.2504, 0.5809]], "species": ["Au", "Pa", "Pt", "Pt", "Pt", "Pt"], "frac_coords": [[0.0000, 0.0000, 0.0000], [0.2500, 0.2500, 0.2500], [0.6254, 0.6254, 0.1237], [0.6254, 0.1237, 0.6254], [0.1237, 0.6254, 0.6254], [0.6254, 0.6254, 0.6254]], "e_form_mev_per_atom": -770, "dft_energy_ha_per_atom": -0.25482, "magnetic_moment_mub_per_fu": 0.02}



4.
{"formula": "TmNbSb", "functional": "PBE", "state": "relaxed", "cell": [[0.0000, 3.4969, 3.4969], [3.4969, 0.0000, 3.4969], [3.4969, 3.4969, 0.0000]], "species": ["Nb", "Sb", "Tm"], "frac_coords": [[0.2500, 0.2500, 0.2500], [0.7500, 0.7500, 0.7500], [0.0000, 0.0000, 0.0000]], "dft_energy_ha_per_atom": -0.20575, "magnetic_moment_mub_per_fu": 3.42}



5.
{"formula": "YAlAgAu", "functional": "PBE", "state": "relaxed", "cell": [[0.0000, 3.3989, 3.3989], [3.3989, 0.0000, 3.3989], [3.3989, 3.3989, 0.0000]], "species": ["Ag", "Al", "Au", "Y"], "frac_coords": [[0.5000, 0.5000, 0.5000], [0.0000, 0.0000, 0.0000], [0.7500, 0.7500, 0.7500], [0.2500, 0.2500, 0.2500]], "dft_energy_ha_per_atom": -0.16379, "magnetic_moment_mub_per_fu": 0.00, "e_above_lowest_polymorph_mev_per_atom": 156.4}



6.
{"formula": "CoW2", "functional": "PBE", "state": "relaxed", "cell": [[-4.4935, 0.1267, 2.4015], [4.2927, -0.6862, 2.6602], [1.4241, 15.9731, 1.8221]], "species": ["Co", "Co", "Co", "Co", "Co", "Co", "Co", "Co", "W", "W", "W", "W", "W", "W", "W", "W", "W", "W", "W", "W", "W", "W", "W", "W"], "frac_coords": [[0.3333, 0.6667, 0.1268], [0.6667, 0.3333, 0.1626], [0.6667, 0.3333, 0.3374], [0.3333, 0.6667, 0.3732], [0.6667, 0.3333, 0.6268], [0.3333, 0.6667, 0.6626], [0.3333, 0.6667, 0.8374], [0.6667, 0.3333, 0.8732], [0.5000, 0.0000, 0.0000], [0.0000, 0.5000, 0.0000], [0.5000, 0.5000, 0.0000], [0.0000, 0.0000, 0.0948], [0.1642, 0.3283, 0.2500], [0.1642, 0.8358, 0.2500], [0.6717, 0.8358, 0.2500], [0.0000, 0.0000, 0.4052], [0.5000, 0.0000, 0.5000], [0.0000, 0.5000, 0.5000], [0.5000, 0.5000, 0.5000], [0.0000, 0.0000, 0.5948], [0.3283, 0.1642, 0.7500], [0.8358, 0.1642, 0.7500], [0.8358, 0.6717, 0.7500], [0.0000, 0.0000, 0.9052]], "e_form_mev_per_atom": 482, "dft_energy_ha_per_atom": -0.38685, "magnetic_moment_mub_per_fu": 0.40, "e_above_lowest_polymorph_mev_per_atom": 469.2}